This record from Alexandria describes CeMnAu11 after structural relaxation. The functional is PBE.

Values from the calculation:
SG: C2/m
DFT total energy, eV/atom: -4.116
DFT formation energy, eV/atom: -0.181
V, Å³ per cell: 254.5

Geometry as POSCAR:
```
CeMnAu11
1.0
2.8104 -6.6801 0.0000
2.8104 6.6801 0.0000
-2.7626 0.0000 6.7785
Ce Mn Au
1 1 11
direct
0.0000 0.0000 0.0000 Ce
0.0000 0.0000 0.5000 Mn
0.0000 0.5000 0.0000 Au
0.0095 0.6723 0.6508 Au
0.2763 0.4881 0.7828 Au
0.3277 0.9905 0.3492 Au
0.4881 0.2763 0.7828 Au
0.5000 0.0000 0.0000 Au
0.5000 0.5000 0.5000 Au
0.5119 0.7237 0.2172 Au
0.6723 0.0095 0.6508 Au
0.7237 0.5119 0.2172 Au
0.9905 0.3277 0.3492 Au
```